1.
{
  "formula": "Sc2BrF",
  "functional": "GGA-PBEsol",
  "state": "optimized geometry",
  "lattice_angstrom": [[-0.3962, 3.1914, 0.9708], [0.2130, 0.8044, 3.2546], [8.1257, 2.6072, 0.5575]],
  "species": ["Sc", "Sc", "Br", "F"],
  "fractional_positions": [[0.9205, 0.9205, 0.2386], [0.0795, 0.0795, 0.7614], [0.5000, 0.5000, 0.5000], [0.0000, 0.0000, 0.0000]]
}



2.
{
  "formula": "Ti2SiBrF",
  "functional": "GGA-PBEsol",
  "state": "optimized geometry",
  "lattice_angstrom": [[-0.7042, 4.7528, 0.1661], [-3.0729, -0.5828, 3.6510], [3.7617, 0.4443, 3.2370]],
  "species": ["Si", "F", "Br", "Ti", "Ti"],
  "fractional_positions": [[0.0000, 0.0000, 0.0000], [0.5000, 0.5000, 0.5000], [0.0000, 0.0000, 0.5000], [0.0000, 0.5000, 0.0000], [0.5000, 0.0000, 0.0000]]
}



3.
{
  "formula": "SrBrF",
  "functional": "GGA-PBEsol",
  "state": "optimized geometry",
  "lattice_angstrom": [[4.1806, 0.0000, 0.0000], [0.0000, 4.1806, 0.0000], [0.0000, 0.0000, 7.2863]],
  "species": ["Sr", "Sr", "Br", "Br", "F", "F"],
  "fractional_positions": [[0.5000, 0.0000, 0.1866], [0.0000, 0.5000, 0.8134], [0.5000, 0.0000, 0.6456], [0.0000, 0.5000, 0.3544], [0.0000, 0.0000, 0.0000], [0.5000, 0.5000, 0.0000]]
}



4.
{
  "formula": "SrBrF2",
  "functional": "GGA-PBEsol",
  "state": "optimized geometry",
  "lattice_angstrom": [[-3.7209, -0.4918, -0.1734], [-1.4142, -3.0821, -1.6180], [-1.5185, -5.4579, 7.3611]],
  "species": ["Sr", "Br", "F", "F"],
  "fractional_positions": [[0.5000, 0.5000, 0.5000], [0.0000, 0.0000, 0.0000], [0.8706, 0.8706, 0.3883], [0.1294, 0.1294, 0.6117]]
}



5.
{
  "formula": "SrBrF2",
  "functional": "GGA-PBEsol",
  "state": "optimized geometry",
  "lattice_angstrom": [[-4.1481, 0.2751, -1.9032], [-0.9121, -2.3111, -3.8382], [-2.8115, -3.6037, 0.1148]],
  "species": ["Sr", "Br", "F", "F"],
  "fractional_positions": [[0.5000, 0.5000, 0.5000], [0.0000, 0.0000, 0.0000], [0.2500, 0.2500, 0.2500], [0.7500, 0.7500, 0.7500]]
}



6.
{
  "formula": "Sr3BrF",
  "functional": "GGA-PBEsol",
  "state": "optimized geometry",
  "lattice_angstrom": [[-3.6683, 1.5945, 3.8952], [2.4705, -3.3676, 3.7051], [3.4077, 4.1579, 1.5071]],
  "species": ["Sr", "Sr", "Sr", "Br", "F"],
  "fractional_positions": [[0.0000, 0.5000, 0.0000], [0.0000, 0.0000, 0.5000], [0.5000, 0.0000, 0.0000], [0.5000, 0.5000, 0.5000], [0.0000, 0.0000, 0.0000]]
}



What formation energy without anion corrections values result from the calculations? In sequence: -1.562; 0.327; -3.098; -2.547; -2.310; -1.150 eV/atom.
What raw total energy values result from the calculations? In sequence: -5.814; -4.911; -4.977; -4.438; -4.201; -3.014 eV/atom.